Computed, not measured: a relaxed Mg4GaGe crystal at the PBE level of DFT.

The crystal system is monoclinic. Its total energy is -2.393 eV per atom. Its formation energy is -0.06 eV/atom. The total moment comes out at 0.0 Bohr magnetons per cell.

It has space group C2/c (No. 15), with a = 19.816 Å, b = 5.084 Å, c = 5.069 Å, α = 90.00°, β = 103.91° and γ = 90.00°. The asymmetric unit holds Mg at (0.078, 0.222, 0.328), Mg at (0.172, 0.263, 0.922), Ga at (0.250, 0.250, 0.500) and Ge at (0.000, 0.293, 0.750).